A relaxed structure of ReSn, computed with PBE.

It has space group P-6m2 (No. 187), with a = 3.1564 Å, b = 3.1564 Å, c = 4.1903 Å, α = 90.00°, β = 90.00° and γ = 120.00°. Symmetry generates all atoms from Re at (0.0000, 0.0000, 0.0000) and Sn at (0.6667, 0.3333, 0.5000).

The value obtained for the total magnetic moment is 0.009 Bohr magnetons per cell. Its total energy is -7.55 eV/atom. Its calculated volume is 18.077 Å³ per atom. The distance to the lowest polymorph of the same formula is 0 meV per atom.


A relaxed structure of KReAu3O4, computed with PBE.

It has space group P-43m (No. 215), with a = 5.754 Å, b = 5.754 Å, c = 5.754 Å, α = 90.00°, β = 90.00° and γ = 90.00°. Symmetry generates all atoms from K at (0.000, 0.000, 0.000), Re at (0.500, 0.500, 0.500), Au at (0.000, 0.500, 0.500) and O at (0.308, 0.308, 0.308).

The value obtained for the total magnetic moment is 1.347 Bohr magnetons per cell. Its total energy is -4.95 eV/atom. Its calculated volume is 21.170 Å³ per atom.


A relaxed structure of Co2Ni4PdSe12, computed with PBE.

It has space group C2/m (No. 12), with a = 11.793 Å, b = 3.521 Å, c = 17.633 Å, α = 90.00°, β = 92.71° and γ = 90.00°. Symmetry generates all atoms from Co at (0.048, 0.000, 0.267), Ni at (0.044, 0.500, 0.881), Ni at (0.181, 0.500, 0.422), Pd at (0.000, 0.000, 0.000), Se at (0.045, 0.000, 0.400), Se at (0.081, 0.500, 0.752), Se at (0.097, 0.000, 0.133), Se at (0.168, 0.000, 0.922), Se at (0.181, 0.500, 0.558) and Se at (0.184, 0.500, 0.287).

The value obtained for the total magnetic moment is 0.020 Bohr magnetons per cell. Its total energy is -4.65 eV/atom. Its calculated volume is 19.243 Å³ per atom.


A relaxed structure of RbErPtS3, computed with PBE.

It has space group Cmcm (No. 63), with a = 3.921 Å, b = 15.638 Å, c = 10.014 Å, α = 90.00°, β = 90.00° and γ = 90.00°. Symmetry generates all atoms from Rb at (0.000, 0.246, 0.250), Er at (0.000, 0.000, 0.000), Pt at (0.000, 0.491, 0.750), S at (0.000, 0.080, 0.750) and S at (0.000, 0.388, 0.574).

The value obtained for the total magnetic moment is 0.016 Bohr magnetons per cell. Its total energy is -5.17 eV/atom. Its calculated volume is 25.582 Å³ per atom.